## RbAg6Pd6 (GGA-PBE)

Data for crystalline RbAg6Pd6 at its relaxed geometry.

abc: 5.3810 7.2579 7.2579
angles: 82.70 68.24 68.24
Atoms (fractional coordinates):
Ag  0.0000  0.3501  0.6499
Ag  0.7190  0.7810  0.7810
Ag  0.3531  0.6469  0.6469
Ag  0.2810  0.2190  0.2190
Ag  0.0000  0.6499  0.3501
Ag  0.6469  0.3531  0.3531
Pd  0.5000  0.2371  0.7629
Pd  0.5000  0.5000  0.0000
Pd  0.5000  0.0000  0.5000
Pd  0.5000  0.7629  0.2371
Pd  0.0000  0.5000  0.0000
Pd  0.0000  0.0000  0.5000
Rb  0.0000  0.0000  0.0000

Properties
The crystal system is orthorhombic.

***

## RbAg3Pd (GGA-PBE)

Data for crystalline RbAg3Pd at its relaxed geometry.

abc: 5.6302 5.6302 5.6302
angles: 90.00 90.00 90.00
Atoms (fractional coordinates):
Pd  0.5000  0.5000  0.5000
Ag  0.0000  0.0000  0.5000
Ag  0.0000  0.5000  0.0000
Ag  0.5000  0.0000  0.0000
Rb  0.0000  0.0000  0.0000

Properties
The crystal system is cubic.

***

## Rb3AgPd (GGA-PBE)

Data for crystalline Rb3AgPd at its relaxed geometry.

abc: 6.4378 6.4378 6.4378
angles: 90.00 90.00 90.00
Atoms (fractional coordinates):
Ag  0.5000  0.5000  0.5000
Rb  0.0000  0.0000  0.5000
Rb  0.5000  0.0000  0.0000
Rb  0.0000  0.5000  0.0000
Pd  0.0000  0.0000  0.0000

Properties
The crystal system is cubic.

***

## RbAg3Pd (GGA-PBE)

Data for crystalline RbAg3Pd at its relaxed geometry.

abc: 5.3557 6.8063 7.3189
angles: 117.71 90.00 90.00
Atoms (fractional coordinates):
Pd  0.0000  0.0000  0.0000
Pd  0.5000  0.0000  0.0000
Ag  0.7500  0.1896  0.3792
Ag  0.2500  0.3663  0.3263
Ag  0.2500  0.9600  0.3263
Ag  0.7500  0.6337  0.6737
Ag  0.2500  0.8104  0.6208
Ag  0.7500  0.0400  0.6737
Rb  0.2500  0.4129  0.8258
Rb  0.7500  0.5871  0.1742

Properties
The crystal system is orthorhombic.

***

DFT formation energy, respectively: 0.006; 1.538; 0.165; 0.059 eV/atom.
Magnetic moment, respectively: 0.00; 0.00; 0.00; 0.00 μB/cell.
DFT total energy, respectively: -3.781; -1.405; -2.025; -2.884 eV per atom.